(1)
This record from Alexandria via LeMat-Bulk describes NiRuRh2 after structural relaxation. The functional is PBEsol.

Symmetry ... No. 160
Crystal system ... trigonal
Relative energy among the computed polymorphs ... 46.0 meV per atom

Unit cell a=2.6401 b=2.6401 c=8.6178 alpha=81.19 beta=81.19 gamma=60.00
Last column: nearest neighbours and their distance in Å.
Atoms (fractional coordinates):
Ni 0.2491 0.2491 0.2526  3 Ru 2.54, 3 Rh 2.57, 6 Ni 2.64
Rh 0.9972 0.9972 0.0085  3 Ni 2.57, 9 Rh 2.64-2.70
Rh 0.7512 0.7512 0.7463  3 Ru 2.64, 9 Rh 2.64-2.70
Ru 0.5025 0.5025 0.4926  3 Ni 2.54, 3 Rh 2.64, 6 Ru 2.64

***

(2)
This record from Alexandria via LeMat-Bulk describes Ni2RuRh after structural relaxation. The functional is PBEsol.

Symmetry ... No. 8
Crystal system ... monoclinic
Relative energy among the computed polymorphs ... 19.0 meV per atom

Unit cell a=2.6010 b=4.3740 c=4.4644 alpha=100.03 beta=106.94 gamma=90.00
Last column: nearest neighbours and their distance in Å.
Atoms (fractional coordinates):
Ni 0.9987 0.9931 0.9973  5 Ni 2.52-2.60, 4 Rh 2.54-2.55, 3 Ru 2.57-2.59
Ru 0.7483 0.2502 0.4966  7 Ni 2.51-2.59, 3 Rh 2.54-2.58, 2 Ru 2.60
Rh 0.5005 0.4957 0.0010  7 Ni 2.54-2.60, 3 Ru 2.54-2.58, 2 Rh 2.60
Ni 0.2526 0.7610 0.5052  4 Ru 2.51-2.58, 5 Ni 2.52-2.60, 3 Rh 2.59-2.60

***

(3)
This record from Alexandria via LeMat-Bulk describes NiRuRh2 after structural relaxation. The functional is PBEsol.

Symmetry ... No. 8
Crystal system ... monoclinic
Relative energy among the computed polymorphs ... 42.6 meV per atom

Unit cell a=2.6430 b=4.5232 c=4.5407 alpha=99.85 beta=106.92 gamma=90.00
Last column: nearest neighbours and their distance in Å.
Atoms (fractional coordinates):
Ni 0.7509 0.2496 0.5018  7 Rh 2.58-2.66, 3 Ru 2.60-2.65, 2 Ni 2.64
Rh 0.2488 0.7397 0.4976  4 Ni 2.58-2.66, 3 Ru 2.59-2.61, 5 Rh 2.64-2.67
Rh 0.0021 0.0104 0.0042  4 Ru 2.59-2.65, 3 Ni 2.60, 5 Rh 2.64-2.67
Ru 0.4982 0.5003 0.9964  7 Rh 2.59-2.65, 3 Ni 2.60-2.65, 2 Ru 2.64

***

(4)
This record from Alexandria via LeMat-Bulk describes Ni2RuRh after structural relaxation. The functional is PBEsol.

Symmetry ... No. 25
Crystal system ... orthorhombic
Relative energy among the computed polymorphs ... 20.0 meV per atom

Unit cell a=2.6130 b=3.6241 c=5.0581 alpha=90.00 beta=89.99 gamma=90.00
Last column: nearest neighbours and their distance in Å.
Atoms (fractional coordinates):
Ru 0.5000 0.5000 0.7543  6 Ni 2.46-2.60, 4 Rh 2.58, 2 Ru 2.61
Ni 0.4998 0.5000 0.2399  2 Ru 2.46-2.60, 6 Ni 2.53-2.61, 4 Rh 2.59
Rh 0.0001 0.0000 0.5007  6 Ni 2.51-2.59, 4 Ru 2.58, 2 Rh 2.61
Ni 0.0001 0.0000 0.0052  2 Rh 2.51-2.55, 6 Ni 2.53-2.61, 4 Ru 2.57

***

(5)
This record from Alexandria via LeMat-Bulk describes Ni2RuRh after structural relaxation. The functional is PBEsol.

Symmetry ... No. 119
Crystal system ... tetragonal
Relative energy among the computed polymorphs ... 0.0 meV per atom

Unit cell a=3.5818 b=3.5818 c=4.4928 alpha=113.49 beta=113.49 gamma=90.00
Last column: nearest neighbours and their distance in Å.
Atoms (fractional coordinates):
Ru 0.2500 0.7500 0.5000  8 Ni 2.53-2.58, 4 Rh 2.58
Ni 0.5000 0.5000 0.0000  4 Rh 2.53, 4 Ni 2.58, 4 Ru 2.58
Rh 0.0000 0.0000 0.0000  8 Ni 2.53-2.58, 4 Ru 2.58
Ni 0.7500 0.2500 0.5000  4 Ru 2.53, 4 Ni 2.58, 4 Rh 2.58

***

(6)
This record from Alexandria via LeMat-Bulk describes NiRuRh2 after structural relaxation. The functional is PBEsol.

Symmetry ... No. 47
Crystal system ... orthorhombic
Relative energy among the computed polymorphs ... 0.0 meV per atom

Unit cell a=2.6490 b=3.6801 c=5.2247 alpha=90.00 beta=90.00 gamma=90.00
Last column: nearest neighbours and their distance in Å.
Atoms (fractional coordinates):
Rh 0.0000 0.0000 0.7461  4 Rh 2.57-2.65, 4 Ni 2.61, 4 Ru 2.63
Ru 0.5000 0.5000 0.0000  2 Ni 2.61, 8 Rh 2.63, 2 Ru 2.65
Ni 0.5000 0.5000 0.5000  8 Rh 2.61, 2 Ru 2.61, 2 Ni 2.65
Rh 0.0000 0.0000 0.2539  4 Rh 2.57-2.65, 4 Ni 2.61, 4 Ru 2.63

***

(7)
This record from Alexandria via LeMat-Bulk describes NiRuRh2 after structural relaxation. The functional is PBEsol.

Symmetry ... No. 25
Crystal system ... orthorhombic
Relative energy among the computed polymorphs ... 35.0 meV per atom

Unit cell a=2.6423 b=3.6880 c=5.2336 alpha=90.00 beta=90.00 gamma=90.00
Last column: nearest neighbours and their distance in Å.
Atoms (fractional coordinates):
Ni 0.0000 0.5000 0.7468  6 Rh 2.56-2.68, 4 Ru 2.60, 2 Ni 2.64
Rh 0.0000 0.5000 0.2583  2 Ni 2.56-2.68, 4 Ru 2.61, 6 Rh 2.64-2.67
Rh 0.5000 0.0000 0.9889  2 Ru 2.53-2.71, 4 Ni 2.60, 6 Rh 2.64-2.67
Ru 0.5000 0.0000 0.5059  6 Rh 2.53-2.71, 4 Ni 2.60, 2 Ru 2.64

***

(8)
This record from Alexandria via LeMat-Bulk describes NiRuRh2 after structural relaxation. The functional is PBEsol.

Symmetry ... No. 119
Crystal system ... tetragonal
Relative energy among the computed polymorphs ... 48.6 meV per atom

Unit cell a=3.6796 b=3.6796 c=4.5764 alpha=113.70 beta=113.70 gamma=90.00
Last column: nearest neighbours and their distance in Å.
Atoms (fractional coordinates):
Ru 0.5000 0.5000 0.0000  8 Rh 2.60-2.63, 4 Ni 2.63
Rh 0.7500 0.2500 0.5000  4 Ni 2.60, 4 Rh 2.63, 4 Ru 2.63
Rh 0.0000 0.0000 0.0000  4 Ru 2.60, 4 Rh 2.63, 4 Ni 2.63
Ni 0.2500 0.7500 0.5000  8 Rh 2.60-2.63, 4 Ru 2.63

***

(9)
This record from Alexandria via LeMat-Bulk describes Ni2RuRh after structural relaxation. The functional is PBEsol.

Symmetry ... No. 99
Crystal system ... tetragonal
Relative energy among the computed polymorphs ... 32.6 meV per atom

Unit cell a=2.6118 b=2.6118 c=7.0142 alpha=90.00 beta=90.00 gamma=90.00
Last column: nearest neighbours and their distance in Å.
Atoms (fractional coordinates):
Rh 0.0000 0.0000 0.4944  4 Ni 2.58, 4 Rh 2.61, 4 Ru 2.62
Ni 0.5000 0.5000 0.2386  8 Ni 2.46-2.61, 4 Rh 2.58
Ru 0.5000 0.5000 0.7596  4 Ni 2.54, 4 Ru 2.61, 4 Rh 2.62
Ni 0.0000 0.0000 0.0074  8 Ni 2.46-2.61, 4 Ru 2.54

***

(10)
This record from Alexandria via LeMat-Bulk describes NiRuRh after structural relaxation. The functional is PBEsol.

Symmetry ... No. 107
Crystal system ... tetragonal
Relative energy among the computed polymorphs ... 40.4 meV per atom

Unit cell a=2.6343 b=2.6343 c=5.7081 alpha=103.34 beta=103.34 gamma=90.00
Last column: nearest neighbours and their distance in Å.
Atoms (fractional coordinates):
Ru 0.3367 0.3367 0.6733  4 Ni 2.54, 4 Rh 2.62, 4 Ru 2.63
Rh 0.6662 0.6662 0.3324  4 Ni 2.61, 4 Ru 2.62, 4 Rh 2.63
Ni 0.9972 0.9972 0.9943  4 Ru 2.54, 4 Rh 2.61, 4 Ni 2.63

***

(11)
This record from Alexandria via LeMat-Bulk describes NiRuRh after structural relaxation. The functional is PBEsol.

Symmetry ... No. 156
Crystal system ... trigonal
Relative energy among the computed polymorphs ... 62.5 meV per atom

Unit cell a=2.6287 b=2.6287 c=6.2864 alpha=90.00 beta=90.00 gamma=120.00
Last column: nearest neighbours and their distance in Å.
Atoms (fractional coordinates):
Rh 0.6667 0.3333 0.6692  3 Ni 2.59, 6 Rh 2.63, 3 Ru 2.63
Ru 0.3333 0.6667 0.3270  3 Ni 2.54, 6 Ru 2.63, 3 Rh 2.63
Ni 0.0000 0.0000 0.0038  3 Ru 2.54, 3 Rh 2.59, 6 Ni 2.63

***

(12)
This record from Alexandria via LeMat-Bulk describes NiRuRh2 after structural relaxation. The functional is PBEsol.

Symmetry ... No. 139
Crystal system ... tetragonal
Relative energy among the computed polymorphs ... 16.6 meV per atom

Unit cell a=3.6885 b=3.6885 c=4.5606 alpha=113.85 beta=113.85 gamma=90.00
Last column: nearest neighbours and their distance in Å.
Atoms (fractional coordinates):
Ni 0.0000 0.0000 0.0000  4 Ru 2.61, 8 Rh 2.63
Rh 0.2500 0.7500 0.5000  4 Rh 2.61, 4 Ni 2.63, 4 Ru 2.63
Rh 0.7500 0.2500 0.5000  4 Rh 2.61, 4 Ni 2.63, 4 Ru 2.63
Ru 0.5000 0.5000 0.0000  4 Ni 2.61, 8 Rh 2.63